Entry 1
A plane-wave DFT calculation with GGA-PBE was carried out for a relaxed LaErGa crystal.

Cell: 5.5833 3.8121 8.8872 Å, 90.00 90.00 90.00°
Sites, in units of the cell vectors:
Ga 0.0000 0.5481 0.7500
Er 0.0000 0.0000 0.5000
Ga 0.0000 0.4519 0.2500
La 0.5000 0.2584 0.7500
Er 0.0000 0.0000 0.0000
La 0.5000 0.7416 0.2500

Computed properties:
spin magnetization: 0.00 μB/f.u.
space group: Pmma (51)



Entry 2
A plane-wave DFT calculation with GGA-PBE was carried out for a relaxed LaErGa crystal.

Cell: 3.5710 3.5710 7.0988 Å, 104.57 104.57 90.00°
Sites, in units of the cell vectors:
Ga 0.6259 0.6259 0.2519
La 0.9691 0.9691 0.9382
Er 0.2549 0.2549 0.5099

Computed properties:
spin magnetization: 0.00 μB/f.u.
space group: I4mm (107)



Which of them is the most stable, and which is the least stable? entry 2 and entry 1, in that order.



Entry 1
A plane-wave DFT calculation with GGA-PBE was carried out for a relaxed LaErTlGa crystal.

Cell: 3.6937 3.6937 7.8277 Å, 90.00 90.00 90.00°
Sites, in units of the cell vectors:
Er 0.5000 0.5000 0.3395
La 0.5000 0.5000 0.8021
Tl 0.0000 0.0000 0.0921
Ga 0.0000 0.0000 0.5510

Computed properties:
spin magnetization: 0.00 μB/f.u.
space group: P4mm (99)



Entry 2
A plane-wave DFT calculation with GGA-PBE was carried out for a relaxed LaErTlGa crystal.

Cell: 5.3468 5.3468 5.3468 Å, 60.00 60.00 60.00°
Sites, in units of the cell vectors:
Tl 0.7500 0.7500 0.7500
Ga 0.2500 0.2500 0.2500
Er 0.0000 0.0000 0.0000
La 0.5000 0.5000 0.5000

Computed properties:
spin magnetization: 0.00 μB/f.u.
space group: F-43m (216)



Which of them is the most stable, and which is the least stable? entry 1 and entry 2, in that order.



Entry 1
A plane-wave DFT calculation with GGA-PBE was carried out for a relaxed LiErGa crystal.

Cell: 4.3581 7.0537 7.0537 Å, 120.00 90.00 90.00°
Sites, in units of the cell vectors:
Ga 0.0000 0.3333 0.6667
Er 0.5000 0.5740 0.0000
Li 0.0000 0.2345 0.0000
Ga 0.5000 0.0000 0.0000
Er 0.5000 0.0000 0.5740
Ga 0.0000 0.6667 0.3333
Er 0.5000 0.4260 0.4260
Li 0.0000 0.7655 0.7655
Li 0.0000 0.0000 0.2345

Computed properties:
spin magnetization: 0.00 μB/f.u.
space group: P-62m (189)



Entry 2
A plane-wave DFT calculation with GGA-PBE was carried out for a relaxed LiErGa crystal.

Cell: 3.3021 4.6468 4.6468 Å, 120.00 90.00 90.00°
Sites, in units of the cell vectors:
Ga 0.1667 0.0000 0.0000
Li 0.1668 0.6667 0.3333
Er 0.6665 0.3333 0.6667

Computed properties:
spin magnetization: 0.00 μB/f.u.
space group: P-6m2 (187)



Entry 3
A plane-wave DFT calculation with GGA-PBE was carried out for a relaxed LiErGa crystal.

Cell: 4.4950 4.4950 7.4175 Å, 90.00 90.00 90.00°
Sites, in units of the cell vectors:
Er 0.5000 0.5000 0.5000
Ga 0.0000 0.5000 0.2359
Ga 0.5000 0.0000 0.7641
Er 0.0000 0.0000 0.5000
Li 0.5000 0.0000 0.1335
Li 0.0000 0.5000 0.8665

Computed properties:
spin magnetization: 0.00 μB/f.u.
space group: P4/nmm (129)



Entry 4
A plane-wave DFT calculation with GGA-PBE was carried out for a relaxed LiErGa crystal.

Cell: 3.4385 3.4385 5.8371 Å, 107.13 107.13 90.00°
Site moments in Bohr magnetons follow the coordinates.
Sites, in units of the cell vectors:
Er 0.2739 0.2739 0.5477  0.10
Ga 0.5966 0.5966 0.1931  0.00
Li 0.9796 0.9796 0.9592  0.00

Computed properties:
spin magnetization: 0.15 μB/f.u.
space group: I4mm (107)



Which of them is the most stable, and which is the least stable? entry 1 and entry 3, in that order.



Entry 1
A plane-wave DFT calculation with GGA-PBE was carried out for a relaxed LiErGaSn crystal.

Cell: 4.3128 4.3573 4.4708 Å, 90.00 90.00 90.00°
Sites, in units of the cell vectors:
Er 0.5000 0.5000 0.0000
Li 0.5000 0.0000 0.5000
Ga 0.0000 0.0000 0.0000
Sn 0.0000 0.5000 0.5000

Computed properties:
spin magnetization: 0.00 μB/f.u.
space group: Pmmm (47)



Entry 2
A plane-wave DFT calculation with GGA-PBE was carried out for a relaxed LiErGaSn crystal.

Cell: 4.9945 4.9945 4.9945 Å, 60.00 60.00 60.00°
Sites, in units of the cell vectors:
Li 0.5000 0.5000 0.5000
Er 0.0000 0.0000 0.0000
Ga 0.7500 0.7500 0.7500
Sn 0.2500 0.2500 0.2500

Computed properties:
spin magnetization: 0.00 μB/f.u.
space group: F-43m (216)



Which of them is the most stable, and which is the least stable? entry 1 and entry 2, in that order.



Entry 1
A plane-wave DFT calculation with GGA-PBE was carried out for a relaxed Er2LuGa crystal.

Cell: 4.6470 4.6657 4.6657 Å, 90.00 90.00 90.00°
Sites, in units of the cell vectors:
Er 0.0000 0.0000 0.5000
Lu 0.5000 0.5000 0.5000
Ga 0.5000 0.0000 0.0000
Er 0.0000 0.5000 0.0000

Computed properties:
spin magnetization: 0.00 μB/f.u.
space group: P4/mmm (123)



Entry 2
A plane-wave DFT calculation with GGA-PBE was carried out for a relaxed Er2LuGa crystal.

Cell: 3.4390 3.4390 11.6452 Å, 81.51 81.51 60.00°
Sites, in units of the cell vectors:
Er 0.9138 0.9138 0.2587
Lu 0.5000 0.5000 0.5000
Er 0.0862 0.0862 0.7413
Ga 0.0000 0.0000 0.0000

Computed properties:
spin magnetization: 0.00 μB/f.u.
space group: R-3m (166)



Entry 3
A plane-wave DFT calculation with GGA-PBE was carried out for a relaxed Er2LuGa crystal.

Cell: 3.4699 3.4699 8.8041 Å, 90.00 90.00 90.00°
Sites, in units of the cell vectors:
Lu 0.5000 0.5000 0.5000
Er 0.0000 0.0000 0.7881
Ga 0.5000 0.5000 0.0000
Er 0.0000 0.0000 0.2119

Computed properties:
spin magnetization: 0.00 μB/f.u.
space group: P4/mmm (123)



Which of them is the most stable, and which is the least stable? entry 3 and entry 2, in that order.



Entry 1
A plane-wave DFT calculation with GGA-PBE was carried out for a relaxed ErMgGaSn crystal.

Cell: 4.3081 4.5000 4.5991 Å, 90.00 90.00 90.00°
Sites, in units of the cell vectors:
Er 0.5000 0.0000 0.5000
Mg 0.5000 0.5000 0.0000
Sn 0.0000 0.0000 0.0000
Ga 0.0000 0.5000 0.5000

Computed properties:
spin magnetization: 0.00 μB/f.u.
space group: Pmmm (47)



Entry 2
A plane-wave DFT calculation with GGA-PBE was carried out for a relaxed ErMgGaSn crystal.

Cell: 5.0867 5.0867 5.0867 Å, 60.00 60.00 60.00°
Sites, in units of the cell vectors:
Ga 0.7500 0.7500 0.7500
Er 0.0000 0.0000 0.0000
Sn 0.2500 0.2500 0.2500
Mg 0.5000 0.5000 0.5000

Computed properties:
spin magnetization: 0.00 μB/f.u.
space group: F-43m (216)



Which of them is the most stable, and which is the least stable? entry 1 and entry 2, in that order.